Record 1
YBSe2Br, PBEsol geometry, DFT SCAN; DOS at the Fermi energy = 4.9 states/eV per cell; magnetic moment = 0.00 μB/f.u.; ΔE_f (raw) = 0.16 eV/atom
1.0
-1.832 -0.476 5.050
2.874 -4.521 0.617
4.204 2.918 1.801
Y Br B Se
1 1 1 2
direct
0.000 0.000 0.000 Y
0.000 0.000 0.500 Br
0.500 0.500 0.500 B
0.000 0.500 0.000 Se
0.500 0.000 0.000 Se



Record 2
K2Ta, PBEsol geometry, DFT SCAN; DOS at the Fermi energy = 5.1 states/eV per cell; magnetic moment = 0.00 μB/f.u.; DFT formation energy = 3.4 eV/f.u.
1.0
-1.027 -2.069 2.146
7.600 -2.023 1.685
-2.650 8.714 4.817
K Ta
4 2
direct
0.100 0.591 0.199 K
0.165 0.154 0.331 K
0.835 0.846 0.669 K
0.900 0.409 0.801 K
0.499 0.144 0.999 Ta
0.501 0.856 0.001 Ta



Record 3
Be2CrIr, PBEsol geometry, DFT SCAN; DOS at the Fermi energy = 1.9 states/eV per cell; magnetic moment = 3.50 μB/f.u.; DFT formation energy = -1.6 eV/f.u.
1.0
2.823 0.000 0.000
0.000 3.854 0.000
0.000 0.000 3.854
Be Cr Ir
2 1 1
direct
0.000 0.500 0.000 Be
0.000 0.000 0.500 Be
0.500 0.500 0.500 Cr
0.500 0.000 0.000 Ir



Record 4
P2PtAu, PBEsol geometry, DFT SCAN; DOS at the Fermi energy = 1.4 states/eV per cell; magnetic moment = 0.00 μB/f.u.; DFT formation energy = 2.6 eV/f.u.
1.0
4.446 0.000 0.000
2.223 3.851 0.000
2.223 1.284 3.631
Au P Pt
1 2 1
direct
0.500 0.500 0.500 Au
0.000 0.000 0.000 P
0.750 0.750 0.750 P
0.250 0.250 0.250 Pt



Record 5
AsIrPt2, PBEsol geometry, DFT SCAN; DOS at the Fermi energy = 2.5 states/eV per cell; magnetic moment = 0.00 μB/f.u.; DFT formation energy = 0.4 eV/f.u.
1.0
2.815 0.000 0.000
0.000 4.635 -0.256
-1.407 -2.126 4.745
Pt Ir As
2 1 1
direct
0.993 0.029 0.987 Pt
0.765 0.227 0.531 Pt
0.230 0.687 0.460 Ir
0.511 0.557 0.022 As



Record 6
ZrIr2Os, PBEsol geometry, DFT SCAN; DOS at the Fermi energy = 3.3 states/eV per cell; magnetic moment = 0.00 μB/f.u.; DFT formation energy = -2.5 eV/f.u.
1.0
3.911 0.000 0.000
0.000 3.947 0.000
0.000 0.000 3.947
Ir Zr Os
2 1 1
direct
0.000 0.000 0.500 Ir
0.000 0.500 0.000 Ir
0.500 0.000 0.000 Zr
0.500 0.500 0.500 Os



Record 7
V2P2O9, PBEsol geometry, DFT SCAN; DOS at the Fermi energy = 14.4 states/eV per cell; magnetic moment = 2.00 μB/f.u.; ΔE_f (raw) = -2.47 eV/atom
1.0
6.238 0.000 0.000
0.000 7.690 0.000
0.000 0.000 13.630
O V P
36 8 8
direct
0.250 0.006 0.483 O
0.551 0.433 0.371 O
0.449 0.351 0.122 O
0.750 0.960 0.717 O
0.051 0.351 0.122 O
0.551 0.649 0.878 O
0.250 0.335 0.505 O
0.449 0.933 0.129 O
0.949 0.067 0.871 O
0.250 0.646 0.454 O
0.051 0.933 0.129 O
0.750 0.146 0.046 O
0.250 0.494 0.983 O
0.949 0.649 0.878 O
0.750 0.994 0.517 O
0.750 0.665 0.495 O
0.250 0.854 0.954 O
0.750 0.354 0.546 O
0.750 0.264 0.748 O
0.051 0.149 0.622 O
0.250 0.764 0.752 O
0.750 0.835 0.995 O
0.750 0.506 0.017 O
0.551 0.851 0.378 O
0.449 0.567 0.629 O
0.250 0.460 0.783 O
0.051 0.567 0.629 O
0.949 0.433 0.371 O
0.750 0.236 0.248 O
0.551 0.067 0.871 O
0.250 0.736 0.252 O
0.949 0.851 0.378 O
0.250 0.165 0.005 O
0.750 0.540 0.217 O
0.449 0.149 0.622 O
0.250 0.040 0.283 O
0.750 0.158 0.621 V
0.250 0.658 0.879 V
0.500 0.000 0.000 V
0.000 0.500 0.500 V
0.250 0.842 0.379 V
0.500 0.500 0.500 V
0.000 0.000 0.000 V
0.750 0.342 0.121 V
0.250 0.913 0.196 P
0.750 0.848 0.442 P
0.250 0.348 0.058 P
0.750 0.652 0.942 P
0.750 0.087 0.804 P
0.250 0.152 0.558 P
0.750 0.413 0.304 P
0.250 0.587 0.696 P



Record 8
Ga3NiPt, PBEsol geometry, DFT SCAN; DOS at the Fermi energy = 2.2 states/eV per cell; magnetic moment = 0.00 μB/f.u.; DFT formation energy = 0.5 eV/f.u.
1.0
4.391 0.000 0.000
0.000 4.391 0.000
0.000 0.000 4.391
Ga Pt Ni
3 1 1
direct
0.000 0.000 0.500 Ga
0.500 0.000 0.000 Ga
0.000 0.500 0.000 Ga
0.500 0.500 0.500 Pt
0.000 0.000 0.000 Ni